An optimized crystal structure of FePtNF2, computed with PBE+U.

## Properties
- symmetry = No. 123
- DOS(E_F) (states/eV/f.u.) = 5.1
- E (eV for the cell shown) = -24.18

Cell lengths 3.7360, 3.7360, 4.5045 Å; angles 90.00, 90.00, 90.00 degrees
Last column: nearest neighbours and their distance in Å.
Fractional coordinates of all 5 atoms:
Fe (0.0000, 0.0000, 0.0000)  4 F 1.87
Pt (0.5000, 0.5000, 0.5000)  4 N 2.64, 8 F 2.93
F (0.5000, 0.0000, 0.0000)  2 Fe 1.87
F (0.0000, 0.5000, 0.0000)  2 Fe 1.87
N (0.0000, 0.0000, 0.5000)  2 Fe 2.25